Below is crystalline CrSbI2O at its relaxed geometry, with properties calculated at the PBE+U level.

Computed properties:
E above lowest polymorph = 1266 meV/atom

Cell: 5.469 5.469 5.335 Å, 90.00 90.00 90.00°
Space group P4/mmm (No. 123)
Symmetry-distinct sites (fractional):
Cr (0.000, 0.000, 0.000)
Sb (0.000, 0.000, 0.500)
I (0.000, 0.500, 0.000)
O (0.500, 0.500, 0.500)